Entry P
Computed, not measured: a geometry-optimized Sm2TiMnO6 structure at the PBE+U level of DFT.

Cell: 5.310 5.310 4.991 Å, 90.00 90.00 90.00°
Fractional positions:
Sm  0.000  0.500  0.000
Sm  0.500  0.000  0.000
Ti  0.000  0.000  0.591
Mn  0.500  0.500  0.563
O  0.000  0.000  0.222
O  0.239  0.239  0.728
O  0.239  0.761  0.728
O  0.500  0.500  0.159
O  0.761  0.239  0.728
O  0.761  0.761  0.728

Calculated values
- Total magnetic moment: 5.00 μB per cell
- Theoretical density: 5.9 Mg/m³

---

Entry Q
Computed, not measured: a geometry-optimized Sm2TiMnO6 structure at the PBE+U level of DFT.

Cell: 5.467 5.779 9.583 Å, 90.00 124.48 90.00°
Fractional positions:
Sm  0.230  0.065  0.248
Sm  0.230  0.435  0.748
Sm  0.770  0.565  0.252
Sm  0.770  0.935  0.752
Ti  0.500  0.000  0.000
Ti  0.500  0.500  0.500
Mn  0.000  0.000  0.500
Mn  0.000  0.500  0.000
O  0.153  0.184  0.946
O  0.153  0.316  0.446
O  0.255  0.711  0.937
O  0.255  0.789  0.437
O  0.376  0.044  0.763
O  0.376  0.456  0.263
O  0.624  0.544  0.737
O  0.624  0.956  0.237
O  0.745  0.211  0.563
O  0.745  0.289  0.063
O  0.847  0.684  0.554
O  0.847  0.816  0.054

Calculated values
- Total magnetic moment: 10.00 μB per cell
- Theoretical density: 6.6 Mg/m³

---

It turns out entry Q is the most stable, with the second structure 0.140 eV/atom higher.

---

Entry P
Computed, not measured: a geometry-optimized MnSn3O structure at the PBE+U level of DFT.

Cell: 5.074 5.074 5.074 Å, 90.00 90.00 90.00°
Fractional positions:
Mn  0.000  0.000  0.000
Sn  0.000  0.000  0.500
Sn  0.000  0.500  0.000
Sn  0.500  0.000  0.000
O  0.500  0.500  0.500

Calculated values
- Total magnetic moment: 1.45 μB per cell
- Theoretical density: 5.4 Mg/m³

---

Entry Q
Computed, not measured: a geometry-optimized MnSn3O structure at the PBE+U level of DFT.

Cell: 4.808 4.808 4.808 Å, 90.00 90.00 90.00°
Fractional positions:
Mn  0.000  0.000  0.000
Sn  0.000  0.500  0.500
Sn  0.500  0.000  0.500
Sn  0.500  0.500  0.000
O  0.500  0.500  0.500

Calculated values
- Total magnetic moment: 4.95 μB per cell
- Theoretical density: 6.4 Mg/m³

---

It turns out entry Q is the most stable, with the second structure 0.801 eV/atom higher.

---

Entry P
Computed, not measured: a geometry-optimized Mn5Sn3O12 structure at the PBE+U level of DFT.

Cell: 9.236 9.236 3.197 Å, 90.00 90.00 120.00°
Fractional positions:
Mn  0.000  0.690  0.000
Mn  0.310  0.310  0.000
Mn  0.333  0.667  0.000
Mn  0.667  0.333  0.000
Mn  0.690  0.000  0.000
Sn  0.000  0.324  0.500
Sn  0.324  0.000  0.500
Sn  0.676  0.676  0.500
O  0.000  0.181  0.000
O  0.000  0.471  0.000
O  0.181  0.000  0.000
O  0.191  0.741  0.500
O  0.259  0.450  0.500
O  0.450  0.259  0.500
O  0.471  0.000  0.000
O  0.529  0.529  0.000
O  0.550  0.809  0.500
O  0.741  0.191  0.500
O  0.809  0.550  0.500
O  0.819  0.819  0.000

Calculated values
- Total magnetic moment: 23.00 μB per cell
- Theoretical density: 5.8 Mg/m³

---

Entry Q
Computed, not measured: a geometry-optimized Mn5Sn3O12 structure at the PBE+U level of DFT.

Cell: 10.829 10.829 10.829 Å, 109.47 109.47 109.47°
Fractional positions:
Mn  0.000  0.000  0.000
Mn  0.000  0.000  0.500
Mn  0.000  0.500  0.000
Mn  0.000  0.500  0.500
Mn  0.125  0.750  0.875
Mn  0.125  0.875  0.250
Mn  0.250  0.125  0.875
Mn  0.250  0.625  0.375
Mn  0.375  0.250  0.625
Mn  0.375  0.625  0.750
Mn  0.500  0.000  0.000
Mn  0.500  0.000  0.500
Mn  0.500  0.500  0.000
Mn  0.500  0.500  0.500
Mn  0.625  0.375  0.250
Mn  0.625  0.750  0.375
Mn  0.750  0.375  0.625
Mn  0.750  0.875  0.125
Mn  0.875  0.125  0.750
Mn  0.875  0.250  0.125
Sn  0.125  0.250  0.375
Sn  0.125  0.375  0.750
Sn  0.250  0.375  0.125
Sn  0.250  0.875  0.625
Sn  0.375  0.125  0.250
Sn  0.375  0.750  0.125
Sn  0.625  0.250  0.875
Sn  0.625  0.875  0.750
Sn  0.750  0.125  0.375
Sn  0.750  0.625  0.875
Sn  0.875  0.625  0.250
Sn  0.875  0.750  0.625
O  0.043  0.214  0.135
O  0.043  0.329  0.909
O  0.080  0.714  0.671
O  0.080  0.865  0.409
O  0.091  0.635  0.420
O  0.091  0.957  0.671
O  0.135  0.043  0.214
O  0.135  0.591  0.920
O  0.171  0.214  0.580
O  0.171  0.457  0.591
O  0.214  0.135  0.043
O  0.214  0.580  0.171
O  0.286  0.329  0.920
O  0.286  0.457  0.365
O  0.329  0.909  0.043
O  0.329  0.920  0.286
O  0.365  0.286  0.457
O  0.365  0.580  0.909
O  0.409  0.080  0.865
O  0.409  0.829  0.543
O  0.420  0.091  0.635
O  0.420  0.829  0.786
O  0.457  0.365  0.286
O  0.457  0.591  0.171
O  0.543  0.409  0.829
O  0.543  0.635  0.714
O  0.580  0.171  0.214
O  0.580  0.909  0.365
O  0.591  0.171  0.457
O  0.591  0.920  0.135
O  0.635  0.420  0.091
O  0.635  0.714  0.543
O  0.671  0.080  0.714
O  0.671  0.091  0.957
O  0.714  0.543  0.635
O  0.714  0.671  0.080
O  0.786  0.420  0.829
O  0.786  0.865  0.957
O  0.829  0.543  0.409
O  0.829  0.786  0.420
O  0.865  0.409  0.080
O  0.865  0.957  0.786
O  0.909  0.043  0.329
O  0.909  0.365  0.580
O  0.920  0.135  0.591
O  0.920  0.286  0.329
O  0.957  0.671  0.091
O  0.957  0.786  0.865

Calculated values
- Total magnetic moment: 88.56 μB per cell
- Theoretical density: 5.6 Mg/m³

---

It turns out entry P is the most stable, with the second structure 0.097 eV/atom higher.